Entry 1:
Material: Bi19O27F3
Method: DFT, PBE
State: optimized geometry

Results
Crystal system   hexagonal
D(E_F)   0.000 states/eV/cell
Spin magnetization   0.000 μB/atom

Cell lengths 13.0635, 13.0635, 10.4624 Å; angles 90.00, 90.00, 120.00 degrees
Space group P6_3 (No. 173)
Unique sites:
Bi (0.0000, 0.0000, 0.0000) x2
Bi (0.0656, 0.7631, 0.4244) x6
Bi (0.0668, 0.7656, 0.0955) x6
Bi (0.0673, 0.7813, 0.7587) x6
Bi (0.1326, 0.5186, 0.4260) x6
Bi (0.1333, 0.5259, 0.7594) x6
Bi (0.1337, 0.5210, 0.0937) x6
O (0.0106, 0.1901, 0.7615) x6
O (0.0121, 0.1784, 0.0886) x6
O (0.0127, 0.1833, 0.4291) x6
O (0.0582, 0.6013, 0.2621) x6
O (0.0594, 0.6018, 0.9251) x6
O (0.0596, 0.5981, 0.5930) x6
O (0.1201, 0.3964, 0.5940) x6
O (0.1207, 0.3968, 0.9290) x6
O (0.1219, 0.3928, 0.2571) x6
F (0.3333, 0.6667, 0.2572) x2
F (0.3333, 0.6667, 0.5938) x2
F (0.3333, 0.6667, 0.9314) x2

Entry 2:
Material: Bi5O7F
Method: DFT, PBE
State: optimized geometry

Results
Crystal system   monoclinic
D(E_F)   0.000 states/eV/cell
Offset from the most stable computed form   0.552 eV/f.u.
Spin magnetization   0.000 μB/atom

Cell lengths 6.8404, 12.5551, 13.2708 Å; angles 90.00, 116.25, 90.00 degrees
Space group P2_1/c (No. 14)
Unique sites:
Bi (0.0317, 0.2468, 0.4335) x4
Bi (0.3092, 0.0199, 0.0797) x4
Bi (0.3175, 0.7318, 0.9210) x4
Bi (0.3599, 0.2227, 0.7676) x4
Bi (0.3903, 0.0035, 0.6142) x4
O (0.9996, 0.1048, 0.9986) x4
O (0.1228, 0.1650, 0.5861) x4
O (0.3076, 0.7284, 0.0871) x4
O (0.3619, 0.0964, 0.2353) x4
O (0.4008, 0.1665, 0.0110) x4
O (0.4123, 0.6422, 0.7805) x4
O (0.4781, 0.1015, 0.4962) x4
F (0.2964, 0.0300, 0.7834) x4

Entry 3:
Material: Bi4O5F2
Method: DFT, PBE
State: optimized geometry

Results
Crystal system   monoclinic
D(E_F)   0.000 states/eV/cell
Offset from the most stable computed form   0.537 eV/f.u.
Spin magnetization   0.000 μB/atom

Cell lengths 5.9259, 5.5953, 14.0067 Å; angles 90.00, 91.55, 90.00 degrees
Space group P2_1/c (No. 14)
Unique sites:
Bi (0.1990, 0.2174, 0.0465) x4
Bi (0.2286, 0.6198, 0.2826) x4
O (0.0000, 0.0000, 0.5000) x2
O (0.0831, 0.0008, 0.9140) x4
O (0.1117, 0.1816, 0.7050) x4
F (0.4733, 0.6035, 0.6498) x4

Entry 4:
Material: Bi4O4F5
Method: DFT, PBE
State: optimized geometry

Results
Crystal system   tetragonal
D(E_F)   16.710 states/eV/cell
Spin magnetization   0.077 μB/atom

Cell lengths 10.1829, 10.1829, 3.6972 Å; angles 90.00, 90.00, 90.00 degrees
Space group I4/m (No. 87)
Unique sites:
Bi (0.0401, 0.2625, 0.0000) x8
O (0.0973, 0.3787, 0.5000) x8
F (0.0000, 0.0000, 0.0000) x2
F (0.1101, 0.7997, 0.5000) x8

Entry 5:
Material: BiOF
Method: DFT, PBE
State: optimized geometry

Results
Crystal system   monoclinic
D(E_F)   0.000 states/eV/cell
Spin magnetization   0.000 μB/atom

Cell lengths 6.1689, 5.5763, 5.4865 Å; angles 90.00, 93.13, 90.00 degrees
Space group P2_1/c (No. 14)
Unique sites:
Bi (0.2047, 0.0241, 0.2736) x4
O (0.0125, 0.7479, 0.5033) x4
F (0.3711, 0.0797, 0.7164) x4

Entry 6:
Material: BiOF
Method: DFT, PBE
State: optimized geometry

Results
Crystal system   tetragonal
D(E_F)   0.000 states/eV/cell
Spin magnetization   0.000 μB/atom

Cell lengths 3.9742, 3.9742, 11.9099 Å; angles 90.00, 90.00, 90.00 degrees
Space group I4/mmm (No. 139)
Unique sites:
Bi (0.0000, 0.0000, 0.1440) x4
O (0.0000, 0.5000, 0.2500) x4
F (0.0000, 0.5000, 0.0000) x4

It is found that the energy relative to the elements, uncorrected values, taken in the order of the records, are -1.299 -1.297 -1.485 -1.714 -1.841 -1.786 eV/atom.